Density functional theory data (PBE-GGA) for NbAs2C after structural relaxation.

Output
Density of states at the Fermi level (states/eV/atom): 0.944
Total magnetic moment (μB/atom): 0.00
Electronic total energy (eV/atom): -6.477

a b c (Å): 5.796 5.796 7.922
angles (deg): 90.00 90.00 90.00
Space group I-42d (No. 122)
Symmetry-distinct sites (fractional):
Nb: 0.000 0.000 0.000 [4 per cell]
As: 0.165 0.250 0.625 [8 per cell]
C: 0.000 0.000 0.500 [4 per cell]

=====

Density functional theory data (PBE-GGA) for EuMg2Bi2 after structural relaxation.

Output
Density of states at the Fermi level (states/eV/atom): 2.626
Total magnetic moment (μB/atom): 1.40
Electronic total energy (eV/atom): -4.802

a b c (Å): 4.8403 4.8403 7.8684
angles (deg): 90.00 90.00 120.00
Space group P-3m1 (No. 164)
Symmetry-distinct sites (fractional):
Eu: 0.0000 0.0000 0.0000 [1 per cell]
Mg: 0.3333 0.6667 0.3722 [2 per cell]
Bi: 0.3333 0.6667 0.7542 [2 per cell]

=====

Density functional theory data (PBE-GGA) for RbTbBr2 after structural relaxation.

Output
Density of states at the Fermi level (states/eV/atom): 0.769
Total magnetic moment (μB/atom): 0.00
Formation energy from raw total energies (eV per atom): -1.115

a b c (Å): 3.9548 3.9548 32.9421
angles (deg): 90.00 90.00 120.00
Space group R-3m (No. 166, hexagonal axes)
Symmetry-distinct sites (fractional):
Rb: 0.0000 0.0000 0.0000 [3 per cell]
Tb: 0.0000 0.0000 0.5000 [3 per cell]
Br: 0.0000 0.0000 0.1091 [6 per cell]

=====

Density functional theory data (PBE-GGA) for HfTaMnSb2 after structural relaxation.

Output
Density of states at the Fermi level (states/eV/atom): 1.119
Total magnetic moment (μB/atom): 0.19
Formation energy from raw total energies (eV per atom): 1.367

a b c (Å): 5.364 5.364 4.677
angles (deg): 90.00 90.00 90.00
Space group P4/mmm (No. 123)
Symmetry-distinct sites (fractional):
Hf: 0.000 0.000 0.000 [1 per cell]
Ta: 0.500 0.500 0.500 [1 per cell]
Mn: 0.000 0.000 0.500 [1 per cell]
Sb: 0.000 0.500 0.000 [2 per cell]

=====

Density functional theory data (PBE-GGA) for Cd3Si after structural relaxation.

Output
Density of states at the Fermi level (states/eV/atom): 0.392
Total magnetic moment (μB/atom): 0.00
Excess energy over the best structure of this formula in the dataset (meV per atom): 53
Formation energy from raw total energies (eV per atom): 0.259

a b c (Å): 3.172 3.172 8.379
angles (deg): 90.00 90.00 90.00
Space group P4/mmm (No. 123)
Symmetry-distinct sites (fractional):
Cd: 0.000 0.000 0.000 [1 per cell]
Cd: 0.500 0.500 0.267 [2 per cell]
Si: 0.000 0.000 0.500 [1 per cell]

=====

Density functional theory data (PBE-GGA) for CaNi3Br after structural relaxation.

Output
Density of states at the Fermi level (states/eV/atom): 1.594
Total magnetic moment (μB/atom): 0.19
Excess energy over the best structure of this formula in the dataset (meV per atom): 1053
Formation energy from raw total energies (eV per atom): 1.487

a b c (Å): 4.802 4.802 4.802
angles (deg): 90.00 90.00 90.00
Space group Pm-3m (No. 221)
Symmetry-distinct sites (fractional):
Ca: 0.000 0.000 0.000 [1 per cell]
Ni: 0.000 0.000 0.500 [3 per cell]
Br: 0.500 0.500 0.500 [1 per cell]

=====

Density functional theory data (PBE-GGA) for Ba2AlZnF9 after structural relaxation.

Output
Density of states at the Fermi level (states/eV/atom): 0.000
Total magnetic moment (μB/atom): 0.00
Formation energy from raw total energies (eV per atom): -3.450

a b c (Å): 18.045 5.629 7.499
angles (deg): 90.00 90.00 90.00
Space group Pnma (No. 62)
Symmetry-distinct sites (fractional):
Ba: 0.035 0.250 0.212 [4 per cell]
Ba: 0.217 0.750 0.935 [4 per cell]
Al: 0.125 0.750 0.416 [4 per cell]
Zn: 0.092 0.250 0.732 [4 per cell]
F: 0.038 0.750 0.272 [4 per cell]
F: 0.075 0.518 0.548 [8 per cell]
F: 0.082 0.000 0.922 [8 per cell]
F: 0.162 0.515 0.277 [8 per cell]
F: 0.200 0.250 0.722 [4 per cell]
F: 0.202 0.750 0.566 [4 per cell]

=====

Density functional theory data (PBE-GGA) for Pa3Mn5S12 after structural relaxation.

Output
Density of states at the Fermi level (states/eV/atom): 0.597
Total magnetic moment (μB/atom): 1.25
Formation energy from raw total energies (eV per atom): -1.037

a b c (Å): 14.981 14.981 14.981
angles (deg): 90.00 90.00 90.00
Space group Ia-3d (No. 230)
Symmetry-distinct sites (fractional):
Pa: 0.000 0.250 0.125 [24 per cell]
Mn: 0.000 0.000 0.000 [16 per cell]
Mn: 0.000 0.250 0.375 [24 per cell]
S: 0.025 0.064 0.651 [96 per cell]

=====

Density functional theory data (PBE-GGA) for Sm12Tl5Ga2 after structural relaxation.

Output
Density of states at the Fermi level (states/eV/atom): 1.215
Total magnetic moment (μB/atom): 0.00
Electronic total energy (eV/atom): -4.132

a b c (Å): 17.632 7.184 9.250
angles (deg): 90.00 94.68 90.00
Space group C2/m (No. 12)
Symmetry-distinct sites (fractional):
Sm: 0.004 0.000 0.301 [4 per cell]
Sm: 0.032 0.500 0.185 [4 per cell]
Sm: 0.153 0.251 0.517 [8 per cell]
Sm: 0.159 0.250 0.945 [8 per cell]
Tl: 0.000 0.500 0.500 [2 per cell]
Tl: 0.208 0.000 0.246 [4 per cell]
Tl: 0.224 0.500 0.248 [4 per cell]
Ga: 0.000 0.171 0.000 [4 per cell]

=====

Density functional theory data (PBE-GGA) for KNiP2S after structural relaxation.

Output
Density of states at the Fermi level (states/eV/atom): 2.137
Total magnetic moment (μB/atom): 0.37
Excess energy over the best structure of this formula in the dataset (meV per atom): 2038
Formation energy from raw total energies (eV per atom): 2.186

a b c (Å): 5.239 5.239 5.276
angles (deg): 90.00 90.00 90.00
Space group P4/mmm (No. 123)
Symmetry-distinct sites (fractional):
K: 0.000 0.000 0.000 [1 per cell]
Ni: 0.500 0.500 0.500 [1 per cell]
P: 0.000 0.500 0.000 [2 per cell]
S: 0.000 0.000 0.500 [1 per cell]

=====

Density functional theory data (PBE-GGA) for Sr3Sn2Hg2Au4 after structural relaxation.

Output
Density of states at the Fermi level (states/eV/atom): 0.568
Total magnetic moment (μB/atom): 0.00
Electronic total energy (eV/atom): -2.984

a b c (Å): 4.8950 4.8950 14.6694
angles (deg): 90.00 90.00 120.00
Space group P-3m1 (No. 164)
Symmetry-distinct sites (fractional):
Sr: 0.0000 0.0000 0.0000 [1 per cell]
Sr: 0.0000 0.0000 0.2711 [2 per cell]
Sn: 0.3333 0.6667 0.5826 [2 per cell]
Hg: 0.3333 0.6667 0.1406 [2 per cell]
Au: 0.3333 0.6667 0.3905 [2 per cell]
Au: 0.3333 0.6667 0.8685 [2 per cell]

=====

Density functional theory data (PBE-GGA) for Th2InTc2 after structural relaxation.

Output
Density of states at the Fermi level (states/eV/atom): 1.464
Total magnetic moment (μB/atom): 0.00
Excess energy over the best structure of this formula in the dataset (meV per atom): 39

a b c (Å): 7.438 7.438 8.545
angles (deg): 90.00 90.00 90.00
Space group P4/mnc (No. 128)
Symmetry-distinct sites (fractional):
Th: 0.185 0.314 0.000 [8 per cell]
In: 0.000 0.000 0.250 [4 per cell]
Tc: 0.113 0.613 0.250 [8 per cell]